[1]
DFT (SCAN) results for a crystal of SrLa3Au relaxed with PBEsol.

```
data_SrLa3Au
_space_group_name_H-M_alt 'P 1'
_space_group_IT_number 1
_cell_length_a 5.870
_cell_length_b 5.870
_cell_length_c 5.870
_cell_angle_alpha 90.00
_cell_angle_beta 90.00
_cell_angle_gamma 90.00
loop_
_space_group_symop_operation_xyz
'x,y,z'
loop_
_atom_site_label
_atom_site_fract_x
_atom_site_fract_y
_atom_site_fract_z
Sr1 0.000 0.000 0.000
La1 0.000 0.500 0.500
La2 0.500 0.000 0.500
La3 0.500 0.500 0.000
Au1 0.500 0.500 0.500
```

Calculated values
Theoretical density (g cm⁻³): 5.757
Formation enthalpy at 0 K (eV/atom): -0.251

---

[2]
DFT (SCAN) results for a crystal of SrLa2Au relaxed with PBEsol.

```
data_SrLa2Au
_space_group_name_H-M_alt 'P 1'
_space_group_IT_number 1
_cell_length_a 3.839
_cell_length_b 3.839
_cell_length_c 9.509
_cell_angle_alpha 90.00
_cell_angle_beta 90.00
_cell_angle_gamma 90.00
loop_
_space_group_symop_operation_xyz
'x,y,z'
loop_
_atom_site_label
_atom_site_fract_x
_atom_site_fract_y
_atom_site_fract_z
Sr1 0.000 0.000 0.000
La1 0.500 0.500 0.332
La2 0.500 0.500 0.668
Au1 0.000 0.000 0.500
```

Calculated values
Theoretical density (g cm⁻³): 6.662
Formation enthalpy at 0 K (eV/atom): -0.441

---

[3]
DFT (SCAN) results for a crystal of SrLa2Au relaxed with PBEsol.

```
data_SrLa2Au
_space_group_name_H-M_alt 'P 1'
_space_group_IT_number 1
_cell_length_a 4.101
_cell_length_b 4.798
_cell_length_c 6.756
_cell_angle_alpha 90.00
_cell_angle_beta 104.99
_cell_angle_gamma 90.00
loop_
_space_group_symop_operation_xyz
'x,y,z'
loop_
_atom_site_label
_atom_site_fract_x
_atom_site_fract_y
_atom_site_fract_z
Sr1 0.000 0.000 0.000
La1 0.395 0.500 0.705
La2 0.605 0.500 0.295
Au1 0.000 0.000 0.500
```

Calculated values
Theoretical density (g cm⁻³): 7.272
Formation enthalpy at 0 K (eV/atom): -0.337

---

[4]
DFT (SCAN) results for a crystal of SrLaTa2Au relaxed with PBEsol.

```
data_SrLaTa2Au
_space_group_name_H-M_alt 'P 1'
_space_group_IT_number 1
_cell_length_a 4.930
_cell_length_b 4.930
_cell_length_c 5.315
_cell_angle_alpha 90.00
_cell_angle_beta 90.00
_cell_angle_gamma 90.00
loop_
_space_group_symop_operation_xyz
'x,y,z'
loop_
_atom_site_label
_atom_site_fract_x
_atom_site_fract_y
_atom_site_fract_z
Sr1 0.000 0.000 0.000
La1 0.000 0.000 0.500
Ta1 0.000 0.500 0.000
Ta2 0.500 0.000 0.000
Au1 0.500 0.500 0.500
```

Calculated values
Theoretical density (g cm⁻³): 10.096
Formation enthalpy at 0 K (eV/atom): 2.393

---

[5]
DFT (SCAN) results for a crystal of LaTaAu3 relaxed with PBEsol.

```
data_LaTaAu3
_space_group_name_H-M_alt 'P 1'
_space_group_IT_number 1
_cell_length_a 5.258
_cell_length_b 5.258
_cell_length_c 5.258
_cell_angle_alpha 90.00
_cell_angle_beta 90.00
_cell_angle_gamma 90.00
loop_
_space_group_symop_operation_xyz
'x,y,z'
loop_
_atom_site_label
_atom_site_fract_x
_atom_site_fract_y
_atom_site_fract_z
La1 0.000 0.000 0.000
Ta1 0.500 0.500 0.500
Au1 0.000 0.000 0.500
Au2 0.000 0.500 0.000
Au3 0.500 0.000 0.000
```

Calculated values
Theoretical density (g cm⁻³): 10.401
Formation enthalpy at 0 K (eV/atom): 1.329

---

[6]
DFT (SCAN) results for a crystal of LaTa2Au relaxed with PBEsol.

```
data_LaTa2Au
_space_group_name_H-M_alt 'P 1'
_space_group_IT_number 1
_cell_length_a 5.829
_cell_length_b 10.103
_cell_length_c 2.953
_cell_angle_alpha 90.00
_cell_angle_beta 112.76
_cell_angle_gamma 90.00
loop_
_space_group_symop_operation_xyz
'x,y,z'
loop_
_atom_site_label
_atom_site_fract_x
_atom_site_fract_y
_atom_site_fract_z
La1 0.000 0.000 0.000
La2 0.500 0.500 0.000
Ta1 0.250 0.250 0.500
Ta2 0.250 0.750 0.500
Ta3 0.750 0.250 0.500
Ta4 0.750 0.750 0.500
Au1 0.000 0.500 0.000
Au2 0.500 0.000 0.000
```

Calculated values
Theoretical density (g cm⁻³): 14.449
Formation enthalpy at 0 K (eV/atom): 0.347

---

[7]
DFT (SCAN) results for a crystal of LaTaAu relaxed with PBEsol.

```
data_LaTaAu
_space_group_name_H-M_alt 'P 1'
_space_group_IT_number 1
_cell_length_a 3.056
_cell_length_b 3.056
_cell_length_c 7.844
_cell_angle_alpha 90.00
_cell_angle_beta 90.00
_cell_angle_gamma 120.00
loop_
_space_group_symop_operation_xyz
'x,y,z'
loop_
_atom_site_label
_atom_site_fract_x
_atom_site_fract_y
_atom_site_fract_z
La1 0.000 0.000 0.000
Ta1 0.667 0.333 0.637
Au1 0.333 0.667 0.358
```

Calculated values
Theoretical density (g cm⁻³): 13.526
Formation enthalpy at 0 K (eV/atom): 0.271

---

[8]
DFT (SCAN) results for a crystal of LaTaAu4 relaxed with PBEsol.

```
data_LaTaAu4
_space_group_name_H-M_alt 'P 1'
_space_group_IT_number 1
_cell_length_a 5.516
_cell_length_b 5.516
_cell_length_c 5.516
_cell_angle_alpha 60.00
_cell_angle_beta 60.00
_cell_angle_gamma 60.00
loop_
_space_group_symop_operation_xyz
'x,y,z'
loop_
_atom_site_label
_atom_site_fract_x
_atom_site_fract_y
_atom_site_fract_z
La1 0.000 0.000 0.000
Ta1 0.750 0.750 0.750
Au1 0.376 0.376 0.376
Au2 0.376 0.376 0.873
Au3 0.376 0.873 0.376
Au4 0.873 0.376 0.376
```

Calculated values
Theoretical density (g cm⁻³): 15.501
Formation enthalpy at 0 K (eV/atom): -0.048

---

[9]
DFT (SCAN) results for a crystal of LaTa2Au relaxed with PBEsol.

```
data_LaTa2Au
_space_group_name_H-M_alt 'P 1'
_space_group_IT_number 1
_cell_length_a 2.917
_cell_length_b 2.917
_cell_length_c 9.396
_cell_angle_alpha 90.00
_cell_angle_beta 90.00
_cell_angle_gamma 90.00
loop_
_space_group_symop_operation_xyz
'x,y,z'
loop_
_atom_site_label
_atom_site_fract_x
_atom_site_fract_y
_atom_site_fract_z
La1 0.000 0.000 0.000
Ta1 0.500 0.500 0.285
Ta2 0.500 0.500 0.715
Au1 0.000 0.000 0.500
```

Calculated values
Theoretical density (g cm⁻³): 14.492
Formation enthalpy at 0 K (eV/atom): 0.297

---

[10]
DFT (SCAN) results for a crystal of LaZrTaAu2 relaxed with PBEsol.

```
data_LaZrTaAu2
_space_group_name_H-M_alt 'P 1'
_space_group_IT_number 1
_cell_length_a 5.155
_cell_length_b 5.155
_cell_length_c 5.066
_cell_angle_alpha 90.00
_cell_angle_beta 90.00
_cell_angle_gamma 90.00
loop_
_space_group_symop_operation_xyz
'x,y,z'
loop_
_atom_site_label
_atom_site_fract_x
_atom_site_fract_y
_atom_site_fract_z
La1 0.000 0.000 0.000
Zr1 0.500 0.500 0.500
Ta1 0.000 0.000 0.500
Au1 0.000 0.500 0.000
Au2 0.500 0.000 0.000
```

Calculated values
Theoretical density (g cm⁻³): 9.929
Formation enthalpy at 0 K (eV/atom): 1.408

---

[11]
DFT (SCAN) results for a crystal of La4TcAu relaxed with PBEsol.

```
data_La4TcAu
_space_group_name_H-M_alt 'P 1'
_space_group_IT_number 1
_cell_length_a 6.031
_cell_length_b 6.031
_cell_length_c 6.031
_cell_angle_alpha 60.00
_cell_angle_beta 60.00
_cell_angle_gamma 60.00
loop_
_space_group_symop_operation_xyz
'x,y,z'
loop_
_atom_site_label
_atom_site_fract_x
_atom_site_fract_y
_atom_site_fract_z
La1 0.376 0.376 0.376
La2 0.376 0.376 0.873
La3 0.376 0.873 0.376
La4 0.873 0.376 0.376
Tc1 0.750 0.750 0.750
Au1 0.000 0.000 0.000
```

Calculated values
Theoretical density (g cm⁻³): 9.108
Formation enthalpy at 0 K (eV/atom): 0.725

---

[12]
DFT (SCAN) results for a crystal of LaTc2Au relaxed with PBEsol.

```
data_LaTc2Au
_space_group_name_H-M_alt 'P 1'
_space_group_IT_number 1
_cell_length_a 4.202
_cell_length_b 4.202
_cell_length_c 4.063
_cell_angle_alpha 90.00
_cell_angle_beta 90.00
_cell_angle_gamma 90.00
loop_
_space_group_symop_operation_xyz
'x,y,z'
loop_
_atom_site_label
_atom_site_fract_x
_atom_site_fract_y
_atom_site_fract_z
La1 0.000 0.000 0.000
Tc1 0.000 0.500 0.500
Tc2 0.500 0.000 0.500
Au1 0.500 0.500 0.000
```

Calculated values
Theoretical density (g cm⁻³): 12.309
Formation enthalpy at 0 K (eV/atom): 0.400

---

Question: Which formula does entry 3 have?
Answer: SrLa2Au

---

What did the eleventh record say?
DFT (SCAN) results for a crystal of La4TcAu relaxed with PBEsol.

```
data_La4TcAu
_space_group_name_H-M_alt 'P 1'
_space_group_IT_number 1
_cell_length_a 6.031
_cell_length_b 6.031
_cell_length_c 6.031
_cell_angle_alpha 60.00
_cell_angle_beta 60.00
_cell_angle_gamma 60.00
loop_
_space_group_symop_operation_xyz
'x,y,z'
loop_
_atom_site_label
_atom_site_fract_x
_atom_site_fract_y
_atom_site_fract_z
La1 0.376 0.376 0.376
La2 0.376 0.376 0.873
La3 0.376 0.873 0.376
La4 0.873 0.376 0.376
Tc1 0.750 0.750 0.750
Au1 0.000 0.000 0.000
```

Calculated values
Theoretical density (g cm⁻³): 9.108
Formation enthalpy at 0 K (eV/atom): 0.725

---

Question: Which formula does entry 12 have?
Answer: LaTc2Au

---

Question: What is the formula in the seventh record?
Answer: LaTaAu